# AuBrCl2 | Alexandria | PBE | optimized geometry
# * theoretical density: 6.6 g/cm³
# * relative energy among the computed polymorphs: 0.793 eV/atom
# * uncorrected formation energy: 580 meV per atom
# * space-group type: No. 65
# * crystal system: orthorhombic
data_AuBrCl2
_chemical_formula_sum 'Au1 Br1 Cl2'
_space_group_name_H-M_alt 'P 1'
_space_group_IT_number 1
_cell_length_a 5.248
_cell_length_b 5.248
_cell_length_c 3.159
_cell_angle_alpha 90.00
_cell_angle_beta 90.00
_cell_angle_gamma 90.08
loop_
_space_group_symop_operation_xyz
'x,y,z'
loop_
_atom_site_label
_atom_site_type_symbol
_atom_site_fract_x
_atom_site_fract_y
_atom_site_fract_z
Au1 Au 0.000 0.000 0.000
Br1 Br 0.500 0.500 0.000
Cl1 Cl 0.000 0.500 0.500
Cl2 Cl 0.500 0.000 0.500